(1)
VASP calculation (PBE) on crystalline Ac12Pm7Pr at its relaxed geometry.

Computed properties:
Total moment = 0.0 μB/cell
Formation enthalpy at 0 K = 0.6189 eV per atom
V = 916.6 Å³/cell
Distance to the lowest polymorph of the same formula = 386 meV/atom
Symmetry = Im-3 (204)
Raw total energy = -3.748 eV/atom

```
Ac12Pm7Pr
1.0
-6.1193 6.1193 6.1193
6.1193 -6.1193 6.1193
6.1193 6.1193 -6.1193
Ac Pm Pr
12 7 1
Cartesian
6.1193 -2.5746 3.4616
3.5447 2.6577 0.0000
8.6938 2.6577 0.0000
3.4616 6.1193 -2.5746
2.6577 0.0000 3.5447
6.1193 2.5746 3.4616
0.0000 3.5447 2.6577
3.4616 6.1193 2.5746
2.6577 0.0000 8.6938
-2.5746 3.4616 6.1193
2.5746 3.4616 6.1193
0.0000 8.6938 2.6577
3.0596 3.0596 -3.0596
3.0596 -3.0596 3.0596
6.1193 0.0000 0.0000
-3.0596 3.0596 3.0596
0.0000 6.1193 0.0000
0.0000 0.0000 6.1193
3.0596 3.0596 3.0596
0.0000 0.0000 0.0000
```


(2)
VASP calculation (PBE) on crystalline PdW2AuC at its relaxed geometry.

Computed properties:
Total moment = 0.0 μB/cell
Formation enthalpy at 0 K = 3.5415 eV per atom
V = 114.5 Å³/cell
Symmetry = P4/mmm (123)
Raw total energy = -5.179 eV/atom

```
PdW2AuC
1.0
4.8402 0.0000 0.0000
0.0000 4.8402 0.0000
0.0000 0.0000 4.8886
Pd W Au C
1 2 1 1
Cartesian
0.0000 0.0000 0.0000
0.0000 2.4201 2.4443
2.4201 0.0000 2.4443
0.0000 0.0000 2.4443
2.4201 2.4201 0.0000
```


(3)
VASP calculation (PBE) on crystalline K4MnSb at its relaxed geometry.

Computed properties:
Total moment = 4.7 μB/cell
V = 245.9 Å³/cell
Symmetry = F-43m (216)
Raw total energy = -2.398 eV/atom

```
K4MnSb
1.0
0.0000 4.9725 4.9725
4.9725 0.0000 4.9725
4.9725 4.9725 0.0000
K Mn Sb
4 1 1
Cartesian
3.7427 3.7427 3.7427
6.2023 6.2023 3.7427
6.2023 3.7427 6.2023
3.7427 6.2023 6.2023
0.0000 0.0000 0.0000
7.4587 7.4587 7.4587
```


(4)
VASP calculation (PBE) on crystalline Na2LiSiBr at its relaxed geometry.

Computed properties:
Total moment = 2.0 μB/cell
V = 161.5 Å³/cell
Symmetry = P4/mmm (123)
Raw total energy = -2.421 eV/atom

```
Na2LiSiBr
1.0
5.7133 0.0000 0.0000
0.0000 5.7133 0.0000
0.0000 0.0000 4.9470
Na Li Si Br
2 1 1 1
Cartesian
0.0000 2.8566 0.0000
2.8566 0.0000 0.0000
0.0000 0.0000 2.4735
0.0000 0.0000 0.0000
2.8566 2.8566 2.4735
```


(5)
VASP calculation (PBE) on crystalline Ca4AcCd at its relaxed geometry.

Computed properties:
Total moment = 0.0 μB/cell
Formation enthalpy at 0 K = -0.0213 eV per atom
V = 469.7 Å³/cell
Distance to the lowest polymorph of the same formula = 71 meV/atom
Symmetry = C2/c (15)
Raw total energy = -2.193 eV/atom

```
Ca4AcCd
1.0
5.0660 -7.3091 0.0000
5.0660 7.3091 0.0000
-2.1132 0.0000 6.3428
Ca Ac Cd
8 2 2
Cartesian
1.9810 4.7174 6.0074
1.3520 1.5546 3.9762
4.9813 4.7174 3.5069
2.4086 -1.5546 0.8047
5.6103 1.5546 5.5381
3.0376 -4.7174 2.8359
6.6669 -1.5546 2.3667
6.0379 -4.7174 0.3355
4.5377 1.3776 1.5857
3.4811 -1.3776 4.7571
4.5377 -7.3048 1.5857
3.4811 7.3048 4.7571
```


(6)
VASP calculation (PBE) on crystalline LuH2Pd at its relaxed geometry.

Computed properties:
Total moment = 0.0 μB/cell
V = 138.1 Å³/cell
Symmetry = R-3m (166)
Raw total energy = -4.418 eV/atom

```
LuH2Pd
1.0
3.5423 0.0000 0.0000
-1.7712 3.0678 0.0000
0.0000 0.0000 12.7105
Lu H Pd
3 6 3
Cartesian
0.0000 0.0000 0.0000
0.0000 2.0452 8.4737
1.7712 1.0226 4.2368
0.0000 0.0000 3.0691
0.0000 0.0000 9.6414
0.0000 2.0452 5.4046
0.0000 2.0452 11.5427
1.7712 1.0226 1.1678
1.7712 1.0226 7.3059
0.0000 0.0000 6.3552
0.0000 2.0452 2.1184
1.7712 1.0226 10.5921
```


(7)
VASP calculation (PBE) on crystalline Rb6SnPt at its relaxed geometry.

Computed properties:
Total moment = 0.0 μB/cell
Formation enthalpy at 0 K = -0.1090 eV per atom
V = 1034.9 Å³/cell
Symmetry = Amm2 (38)
Raw total energy = -2.090 eV/atom

```
Rb6SnPt
1.0
4.6849 0.0000 0.0000
0.0000 14.3908 0.0000
0.0000 0.0000 15.3501
Rb Sn Pt
12 2 2
Cartesian
0.0000 0.0000 0.0000
0.0000 2.0373 10.6815
0.0000 5.1581 3.0065
0.0000 7.1954 7.6750
0.0000 9.2327 3.0065
0.0000 12.3535 10.6815
2.3425 0.0000 4.2709
2.3425 3.0574 7.0869
2.3425 4.1380 14.7620
2.3425 7.1954 11.9460
2.3425 10.2528 14.7620
2.3425 11.3334 7.0869
0.0000 0.0000 7.4422
0.0000 7.1954 15.1172
2.3425 0.0000 8.6200
2.3425 7.1954 0.9449
```